This record from Alexandria describes crystalline K2CuF2 at its relaxed geometry. The functional is PBE.

Calculated values
Space group: No. 139

a b c (Å): 6.1732 6.1732 6.1732
angles (deg): 129.21 129.21 74.68
With the nearest neighbours (Å) after each atom.
Atoms (fractional coordinates):
K 0.2500 0.7500 0.5000  4 F 2.69
K 0.7500 0.2500 0.5000  4 F 2.69
Cu 0.0000 0.0000 0.0000  2 F 1.96
F 0.1998 0.1998 0.0000  1 Cu 1.96
F 0.8002 0.8002 0.0000  1 Cu 1.96


This record from Alexandria describes crystalline K2CuF3 at its relaxed geometry. The functional is PBE.

Calculated values
Space group: No. 15

a b c (Å): 6.8261 6.8261 6.6729
angles (deg): 113.71 113.71 57.09
With the nearest neighbours (Å) after each atom.
Atoms (fractional coordinates):
K 0.0089 0.3012 0.1757  6 F 2.61-2.89
K 0.3012 0.0089 0.6757  6 F 2.61-2.89
K 0.6988 0.9911 0.3243  6 F 2.61-2.89
K 0.9911 0.6988 0.8243  6 F 2.61-2.89
Cu 0.4656 0.5344 0.2500  2 F 1.85
Cu 0.5344 0.4656 0.7500  2 F 1.85
F 0.0922 0.9078 0.2500  1 Cu 2.44, 4 K 2.61-2.64
F 0.3264 0.3313 0.0724  1 Cu 1.85
F 0.3313 0.3264 0.5724  1 Cu 1.85
F 0.6687 0.6736 0.4276  1 Cu 1.85
F 0.6736 0.6687 0.9276  1 Cu 1.85
F 0.9078 0.0922 0.7500  1 Cu 2.44, 4 K 2.61-2.64


This record from Alexandria describes crystalline KCuF2 at its relaxed geometry. The functional is PBE.

Calculated values
Space group: No. 122

a b c (Å): 6.8310 6.8310 6.8310
angles (deg): 136.64 136.64 62.99
With the nearest neighbours (Å) after each atom.
Atoms (fractional coordinates):
K 0.0000 0.0000 0.0000  4 F 2.57
K 0.7500 0.2500 0.5000  4 F 2.57
Cu 0.2500 0.7500 0.5000  4 F 2.09
Cu 0.5000 0.5000 0.0000  4 F 2.09
F 0.2130 0.6250 0.0880  2 Cu 2.09
F 0.3750 0.4630 0.5880  2 Cu 2.09
F 0.5370 0.1250 0.9120  2 Cu 2.09
F 0.8750 0.7870 0.4120  2 Cu 2.09


This record from Alexandria describes crystalline K4Cu3F10 at its relaxed geometry. The functional is PBE.

Calculated values
Space group: No. 139

a b c (Å): 14.8319 14.8319 14.8319
angles (deg): 164.09 164.09 22.58
With the nearest neighbours (Å) after each atom.
Atoms (fractional coordinates):
K 0.0683 0.0683 0.0000  12 F 2.86-2.90
K 0.2018 0.2018 0.0000  9 F 2.65-2.91
K 0.7982 0.7982 0.0000  9 F 2.65-2.91
K 0.9317 0.9317 0.0000  12 F 2.86-2.90
Cu 0.3615 0.3615 0.0000  6 F 2.00-2.05
Cu 0.5000 0.5000 0.0000  6 F 2.02-2.05
Cu 0.6385 0.6385 0.0000  6 F 2.00-2.05
F 0.0000 0.5000 0.5000  2 Cu 2.05
F 0.1375 0.6375 0.5000  2 Cu 2.05
F 0.2928 0.2928 0.0000  1 Cu 2.00
F 0.3625 0.8625 0.5000  2 Cu 2.05
F 0.4306 0.4306 0.0000  2 Cu 2.01-2.02
F 0.5000 0.0000 0.5000  2 Cu 2.05
F 0.5694 0.5694 0.0000  2 Cu 2.01-2.02
F 0.6375 0.1375 0.5000  2 Cu 2.05
F 0.7072 0.7072 0.0000  1 Cu 2.00
F 0.8625 0.3625 0.5000  2 Cu 2.05


no.,formation energy from raw total energies (eV per formula unit)
1,-7.944
2,-12.969
3,-6.974
4,-37.195